# RbAc2AuO4

A relaxed structure of RbAc2AuO4 (PBE-GGA, Alexandria via LeMat-Bulk).

Computed properties:
Symmetry ... No. 63
Uncorrected formation energy ... -2.266 eV per atom
E_tot ... -6.30 eV/atom

abc: 7.1451 7.1451 12.3245
angles: 90.00 90.00 147.52
Positions (direct):
1 Rb 0.0630 0.9370 0.7500
2 Rb 0.9370 0.0630 0.2500
3 Ac 0.3728 0.6272 0.5652
4 Ac 0.3728 0.6272 0.9348
5 Ac 0.6272 0.3728 0.0652
6 Ac 0.6272 0.3728 0.4348
7 Au 0.2433 0.7567 0.2500
8 Au 0.7567 0.2433 0.7500
9 O 0.0000 0.0000 0.0000
10 O 0.0000 0.0000 0.5000
11 O 0.2404 0.7596 0.0853
12 O 0.2404 0.7596 0.4147
13 O 0.4254 0.5746 0.7500
14 O 0.5746 0.4254 0.2500
15 O 0.7596 0.2404 0.5853
16 O 0.7596 0.2404 0.9147